The following is a PBE-GGA calculation of an optimized crystal structure of CaAg2PbF8, from Alexandria via LeMat-Bulk.

Lattice parameters (Å, degrees): 3.943 5.781 7.806 89.90 90.00 90.01
Fractional positions:
1 Pb 0.000 0.000 0.000
2 Ag 0.500 0.500 0.736
3 Ag 0.500 0.500 0.264
4 F 0.499 0.220 0.999
5 F 0.999 0.225 0.767
6 F 0.500 0.233 0.500
7 F 0.500 0.767 0.500
8 F 0.501 0.780 0.001
9 F 0.001 0.775 0.233
10 F 0.999 0.225 0.232
11 F 0.001 0.775 0.768
12 Ca 0.000 0.000 0.500

Computed properties:
Final energy, eV per atom: -4.3027
Crystal system: monoclinic
Energy relative to the elements, uncorrected, eV per atom: -2.1041